No. 1
Computed, not measured: a relaxed PuThAsAu crystal at the PBE level of DFT.

Computed properties:
- Calculated total energy: -8.08 eV per atom
- ΔH_f (0 K): -63.5 kJ/mol of atoms
- N(E_F): 10.23 states/eV/cell

a b c (Å): 5.1708 5.1708 5.1708
angles (deg): 60.00 60.00 60.00
Fractional positions:
Pu 0.0000 0.0000 0.0000
Th 0.5000 0.5000 0.5000
As 0.2500 0.2500 0.2500
Au 0.7500 0.7500 0.7500

---

No. 2
Computed, not measured: a relaxed PmPr3Th crystal at the PBE level of DFT.

Computed properties:
- Energy relative to the lowest polymorph listed for this composition: 0.000 eV per atom
- Calculated total energy: -5.28 eV per atom
- ΔH_f (0 K): 2.3 kJ/mol of atoms
- N(E_F): 16.04 states/eV/cell

a b c (Å): 3.6735 3.6735 29.9702
angles (deg): 90.00 90.00 120.00
Fractional positions:
Pm 0.3333 0.6667 0.0000
Pm 0.6667 0.3333 0.5000
Pr 0.0000 0.0000 0.0983
Pr 0.0000 0.0000 0.5983
Pr 0.3333 0.6667 0.3954
Pr 0.3333 0.6667 0.7033
Pr 0.6667 0.3333 0.2033
Pr 0.6667 0.3333 0.8954
Th 0.0000 0.0000 0.2992
Th 0.0000 0.0000 0.7992

---

No. 3
Computed, not measured: a relaxed ScAsRu2 crystal at the PBE level of DFT.

Computed properties:
- Calculated total energy: -7.70 eV per atom
- ΔH_f (0 K): -31.0 kJ/mol of atoms
- N(E_F): 2.62 states/eV/cell

a b c (Å): 4.6502 4.6502 4.8530
angles (deg): 105.73 105.73 38.71
Fractional positions:
Sc 0.0000 0.0000 0.0000
As 0.5000 0.5000 0.5000
Ru 0.2341 0.2341 0.7204
Ru 0.7659 0.7659 0.2796

---

No. 4
Computed, not measured: a relaxed KLi2Rh crystal at the PBE level of DFT.

Computed properties:
- Calculated total energy: -2.78 eV per atom
- ΔH_f (0 K): 27.7 kJ/mol of atoms
- N(E_F): 3.38 states/eV/cell

a b c (Å): 6.4434 6.4434 6.4434
angles (deg): 153.92 126.38 60.57
Fractional positions:
K 0.0000 0.0000 0.0000
Li 0.3106 0.8106 0.5000
Li 0.6894 0.1894 0.5000
Rh 0.5000 0.5000 0.0000

---

No. 5
Computed, not measured: a relaxed Ac2HoGe3Pt12 crystal at the PBE level of DFT.

Computed properties:
- Calculated total energy: -5.92 eV per atom
- ΔH_f (0 K): -40.2 kJ/mol of atoms
- N(E_F): 7.78 states/eV/cell

a b c (Å): 8.0044 8.0044 8.0044
angles (deg): 63.79 63.79 63.79
Fractional positions:
Ac 0.1043 0.1043 0.1043
Ac 0.8957 0.8957 0.8957
Ho 0.5000 0.5000 0.5000
Ge 0.0000 0.5000 0.5000
Ge 0.5000 0.0000 0.5000
Ge 0.5000 0.5000 0.0000
Pt 0.1069 0.6405 0.6405
Pt 0.1455 0.1455 0.5948
Pt 0.1455 0.5948 0.1455
Pt 0.3595 0.3595 0.8931
Pt 0.3595 0.8931 0.3595
Pt 0.4052 0.8545 0.8545
Pt 0.5948 0.1455 0.1455
Pt 0.6405 0.1069 0.6405
Pt 0.6405 0.6405 0.1069
Pt 0.8545 0.4052 0.8545
Pt 0.8545 0.8545 0.4052
Pt 0.8931 0.3595 0.3595

---

No. 6
Computed, not measured: a relaxed LaSm4Ho7 crystal at the PBE level of DFT.

Computed properties:
- Energy relative to the lowest polymorph listed for this composition: 0.000 eV per atom
- Calculated total energy: -4.65 eV per atom
- ΔH_f (0 K): 0.9 kJ/mol of atoms
- N(E_F): 16.40 states/eV/cell

a b c (Å): 6.2590 7.2173 8.8944
angles (deg): 89.95 76.43 89.97
Fractional positions:
La 0.0000 0.0000 0.0000
Sm 0.2216 0.4997 0.3326
Sm 0.2789 0.7502 0.6645
Sm 0.7211 0.2498 0.3355
Sm 0.7784 0.5003 0.6674
Ho 0.0000 0.5000 0.0000
Ho 0.2218 0.9996 0.3342
Ho 0.2786 0.2498 0.6658
Ho 0.4994 0.2498 0.9996
Ho 0.5006 0.7502 0.0004
Ho 0.7214 0.7502 0.3342
Ho 0.7782 0.0004 0.6658

---

No. 7
Computed, not measured: a relaxed LiMgAgHg2 crystal at the PBE level of DFT.

Computed properties:
- Calculated total energy: -1.52 eV per atom
- ΔH_f (0 K): -12.1 kJ/mol of atoms
- N(E_F): 2.37 states/eV/cell

a b c (Å): 4.7059 4.7059 5.7916
angles (deg): 90.00 90.00 120.00
Fractional positions:
Li 0.0000 0.0000 0.0000
Mg 0.3333 0.6667 0.3527
Ag 0.6667 0.3333 0.2426
Hg 0.0000 0.0000 0.5025
Hg 0.6667 0.3333 0.7636

---

No. 8
Computed, not measured: a relaxed Sr2LiBi crystal at the PBE level of DFT.

Computed properties:
- Calculated total energy: -2.81 eV per atom
- ΔH_f (0 K): -50.5 kJ/mol of atoms
- N(E_F): 1.85 states/eV/cell

a b c (Å): 5.4951 5.4951 4.5887
angles (deg): 90.00 90.00 90.00
Fractional positions:
Sr 0.0000 0.5000 0.0000
Sr 0.5000 0.0000 0.0000
Li 0.0000 0.0000 0.5000
Bi 0.5000 0.5000 0.5000